# 1
! ZnTeRh2 PBE relaxed; values from VASP
&SYSTEM
  ibrav = 0, nat = 4, ntyp = 3
/
ATOMIC_SPECIES
Rh 102.91 Rh.upf
Zn 65.41 Zn.upf
Te 127.60 Te.upf
CELL_PARAMETERS angstrom
-2.701 -1.972 1.216
1.791 -0.591 3.018
-2.210 4.362 2.165
ATOMIC_POSITIONS crystal
Rh 0.000 0.000 0.953
Rh 0.500 0.500 0.285
Zn 0.500 0.500 0.808
Te 0.000 0.000 0.455
! - Excess energy over the best structure of this formula in the dataset: 30.7 meV per atom
! - SG: No. 99
! - Size of the total moment: 0.0 Bohr magnetons per cell
! - Density of states at the Fermi level: 0.586 states/eV/atom
! - ΔE_f (raw): -0.7 eV/f.u.

=====

# 2
! ZnTeRh2 PBE relaxed; values from VASP
&SYSTEM
  ibrav = 0, nat = 8, ntyp = 3
/
ATOMIC_SPECIES
Zn 65.41 Zn.upf
Rh 102.91 Rh.upf
Te 127.60 Te.upf
CELL_PARAMETERS angstrom
-5.441 0.196 1.908
0.598 -5.279 2.248
-0.640 -0.276 6.924
ATOMIC_POSITIONS crystal
Zn 0.500 0.500 0.000
Zn 0.250 0.750 0.500
Rh 0.375 0.384 0.750
Rh 0.134 0.625 0.250
Rh 0.616 0.125 0.250
Rh 0.875 0.866 0.750
Te 0.750 0.250 0.500
Te 0.000 0.000 0.000
! - Excess energy over the best structure of this formula in the dataset: 462.4 meV per atom
! - SG: No. 122
! - Size of the total moment: 0.0 Bohr magnetons per cell
! - Density of states at the Fermi level: 0.626 states/eV/atom
! - ΔE_f (raw): 1.0 eV/f.u.

=====

# 3
! Zn2TeRh2 PBE relaxed; values from VASP
&SYSTEM
  ibrav = 0, nat = 10, ntyp = 3
/
ATOMIC_SPECIES
Zn 65.41 Zn.upf
Rh 102.91 Rh.upf
Te 127.60 Te.upf
CELL_PARAMETERS angstrom
-2.082 -4.522 -5.264
0.494 -5.578 4.596
-2.985 0.415 0.824
ATOMIC_POSITIONS crystal
Zn 0.637 0.863 0.500
Zn 0.363 0.137 0.500
Zn 0.137 0.637 0.500
Zn 0.863 0.363 0.500
Rh 0.843 0.657 0.000
Rh 0.157 0.343 0.000
Rh 0.343 0.843 0.000
Rh 0.657 0.157 0.000
Te 0.500 0.500 0.000
Te 0.000 0.000 0.000
! - Excess energy over the best structure of this formula in the dataset: 0.0 meV per atom
! - SG: No. 127
! - Size of the total moment: 0.0 Bohr magnetons per cell
! - Density of states at the Fermi level: 0.438 states/eV/atom
! - ΔE_f (raw): -1.0 eV/f.u.

=====

# 4
! ZnTeRh2 PBE relaxed; values from VASP
&SYSTEM
  ibrav = 0, nat = 4, ntyp = 3
/
ATOMIC_SPECIES
Zn 65.41 Zn.upf
Te 127.60 Te.upf
Rh 102.91 Rh.upf
CELL_PARAMETERS angstrom
4.429 -0.015 0.017
3.226 3.035 0.017
1.074 0.424 4.934
ATOMIC_POSITIONS crystal
Zn 0.250 0.250 0.250
Te 0.750 0.750 0.750
Rh 0.000 0.000 0.003
Rh 0.500 0.500 0.497
! - Excess energy over the best structure of this formula in the dataset: 82.0 meV per atom
! - SG: No. 12
! - Size of the total moment: 0.0 Bohr magnetons per cell
! - Density of states at the Fermi level: 0.592 states/eV/atom
! - ΔE_f (raw): -0.5 eV/f.u.

=====

# 5
! ZnTeRh3 PBE relaxed; values from VASP
&SYSTEM
  ibrav = 0, nat = 5, ntyp = 3
/
ATOMIC_SPECIES
Te 127.60 Te.upf
Rh 102.91 Rh.upf
Zn 65.41 Zn.upf
CELL_PARAMETERS angstrom
4.582 0.000 0.000
0.000 4.582 0.000
0.000 0.000 4.582
ATOMIC_POSITIONS crystal
Te 0.500 0.500 0.500
Rh 0.000 0.500 0.000
Rh 0.500 0.000 0.000
Rh 0.000 0.000 0.500
Zn 0.000 0.000 0.000
! - Excess energy over the best structure of this formula in the dataset: 0.0 meV per atom
! - SG: No. 221
! - Size of the total moment: 1.7 Bohr magnetons per cell
! - Density of states at the Fermi level: 0.955 states/eV/atom
! - ΔE_f (raw): 3.9 eV/f.u.

=====

# 6
! ZnTe3Rh PBE relaxed; values from VASP
&SYSTEM
  ibrav = 0, nat = 5, ntyp = 3
/
ATOMIC_SPECIES
Te 127.60 Te.upf
Zn 65.41 Zn.upf
Rh 102.91 Rh.upf
CELL_PARAMETERS angstrom
5.173 0.000 0.000
0.000 5.173 0.000
0.000 0.000 5.173
ATOMIC_POSITIONS crystal
Te 0.500 0.000 0.000
Te 0.000 0.500 0.000
Te 0.000 0.000 0.500
Zn 0.000 0.000 0.000
Rh 0.500 0.500 0.500
! - Excess energy over the best structure of this formula in the dataset: 504.2 meV per atom
! - SG: No. 221
! - Size of the total moment: 0.9 Bohr magnetons per cell
! - Density of states at the Fermi level: 1.136 states/eV/atom
! - ΔE_f (raw): 4.6 eV/f.u.

=====

# 7
! ZnTe3Rh PBE relaxed; values from VASP
&SYSTEM
  ibrav = 0, nat = 5, ntyp = 3
/
ATOMIC_SPECIES
Rh 102.91 Rh.upf
Te 127.60 Te.upf
Zn 65.41 Zn.upf
CELL_PARAMETERS angstrom
5.252 0.000 0.000
0.000 5.252 0.000
0.000 0.000 5.252
ATOMIC_POSITIONS crystal
Rh 0.000 0.000 0.000
Te 0.000 0.500 0.000
Te 0.500 0.000 0.000
Te 0.000 0.000 0.500
Zn 0.500 0.500 0.500
! - Excess energy over the best structure of this formula in the dataset: 0.0 meV per atom
! - SG: No. 221
! - Size of the total moment: 0.0 Bohr magnetons per cell
! - Density of states at the Fermi level: 1.636 states/eV/atom
! - ΔE_f (raw): 2.0 eV/f.u.

=====

# 8
! Zn2TeRh2 PBE relaxed; values from VASP
&SYSTEM
  ibrav = 0, nat = 10, ntyp = 3
/
ATOMIC_SPECIES
Rh 102.91 Rh.upf
Te 127.60 Te.upf
Zn 65.41 Zn.upf
CELL_PARAMETERS angstrom
7.329 0.000 0.000
0.000 7.329 0.000
0.000 0.000 3.037
ATOMIC_POSITIONS crystal
Rh 0.672 0.828 0.500
Rh 0.172 0.672 0.500
Rh 0.328 0.172 0.500
Rh 0.828 0.328 0.500
Te 0.000 0.000 0.000
Te 0.500 0.500 0.000
Zn 0.122 0.378 0.000
Zn 0.878 0.622 0.000
Zn 0.378 0.878 0.000
Zn 0.622 0.122 0.000
! - Excess energy over the best structure of this formula in the dataset: 110.6 meV per atom
! - SG: No. 127
! - Size of the total moment: 0.0 Bohr magnetons per cell
! - Density of states at the Fermi level: 0.516 states/eV/atom
! - ΔE_f (raw): -0.4 eV/f.u.

=====

> What is the formula in the fifth record?

ZnTeRh3